Entry 1:
# InCoIrSe2 PBE optimized geometry
data_InCoIrSe2
_space_group_name_H-M_alt 'P 1'
_space_group_IT_number 1
_space_group_name_Hall 'P 1'
_cell_length_a 4.648
_cell_length_b 4.648
_cell_length_c 4.642
_cell_angle_alpha 90.00
_cell_angle_beta 90.00
_cell_angle_gamma 90.00
loop_
_atom_site_label
_atom_site_type_symbol
_atom_site_fract_x
_atom_site_fract_y
_atom_site_fract_z
In1 In 0.000 0.000 0.000
Co1 Co 0.500 0.500 0.500
Ir1 Ir 0.500 0.500 0.000
Se1 Se 0.000 0.500 0.500
Se2 Se 0.500 0.000 0.500
# E = -22.7 eV/cell
# Magnetization = 0.000 μB per atom
# Space group = P4/mmm (123)

Entry 2:
# Ba4Sr4Ca PBE optimized geometry
data_Ba4Sr4Ca
_space_group_name_H-M_alt 'P 1'
_space_group_IT_number 1
_space_group_name_Hall 'P 1'
_cell_length_a 9.583
_cell_length_b 9.583
_cell_length_c 9.583
_cell_angle_alpha 96.26
_cell_angle_beta 96.26
_cell_angle_gamma 141.43
loop_
_atom_site_label
_atom_site_type_symbol
_atom_site_fract_x
_atom_site_fract_y
_atom_site_fract_z
Ba1 Ba 0.000 0.325 0.325
Ba2 Ba 0.000 0.675 0.675
Ba3 Ba 0.325 0.000 0.325
Ba4 Ba 0.675 0.000 0.675
Sr1 Sr 0.338 0.338 0.675
Sr2 Sr 0.338 0.662 0.000
Sr3 Sr 0.662 0.338 0.000
Sr4 Sr 0.662 0.662 0.325
Ca1 Ca 0.000 0.000 0.000
# E = -16.3 eV/cell
# Formation enthalpy at 0 K = 0.16 eV/f.u.
# Magnetization = 0.000 μB per atom
# Space group = I4/mmm (139)